VASP calculation (GGA-PBE) on a geometry-optimized Sc2ReMo structure.

abc: 7.4041 7.4041 5.5103
angles: 90.00 90.00 90.00
Space group I-42d (No. 122)
Asymmetric unit:
Sc  0.2383  0.2500  0.1250 [8 per cell]
Re  0.0000  0.0000  0.0000 [4 per cell]
Mo  0.0000  0.0000  0.5000 [4 per cell]

Results
The value obtained for the formation energy is 68.0 kJ per mole of atoms. Its crystal system is tetragonal. The calculation puts the magnetic moment at 0.000 μB per formula unit. The value obtained for the total energy is -132.49 eV for the cell shown. The value obtained for the relative energy among the computed polymorphs is 794 meV per atom.